A plane-wave DFT calculation with PBE was carried out for ReTc2Os after structural relaxation.

Geometry as CIF:
```
data_ReTc2Os
_chemical_formula_sum 'Re1 Tc2 Os1'
_cell_length_a 3.228
_cell_length_b 3.228
_cell_length_c 5.773
_cell_angle_alpha 90.00
_cell_angle_beta 90.00
_cell_angle_gamma 90.00
_space_group_name_H-M_alt 'P 4 m m'
_space_group_IT_number 99
loop_
_space_group_symop_operation_xyz
'x,y,z'
'-y,x,z'
'-x,-y,z'
'y,-x,z'
'-x,y,z'
'y,x,z'
'x,-y,z'
'-y,-x,z'
loop_
_atom_site_label
_atom_site_type_symbol
_atom_site_fract_x
_atom_site_fract_y
_atom_site_fract_z
Re1 Re 0.000 0.000 0.000
Tc1 Tc 0.000 0.000 0.527
Tc2 Tc 0.500 0.500 0.275
Os1 Os 0.500 0.500 0.796
```

Computed properties:
The value obtained for the formation energy is 0.3754 eV per atom. The energy above the most stable polymorph in this dataset comes out at 428 meV per atom.